VASP calculation (PBE with a Hubbard U) on crystalline Dy3WCl2O6 at its relaxed geometry.

Properties
Calculated density = 6.81 Mg/m³
DFT total energy = -7.118 eV per atom

Cell lengths 5.4628, 6.5693, 6.6540 Å; angles 119.58, 81.10, 90.00 degrees
Last column: nearest neighbours and their distance in Å.
Fractional positions:
Cl  0.8521  0.2941  0.5882  3 Dy 2.65, 1 O 2.77
Cl  0.1479  0.7059  0.4118  3 Dy 2.65, 1 O 2.77
O  0.6674  0.8328  0.6655  1 W 1.99, 2 Dy 2.18
O  0.7017  0.3000  0.1196  1 W 2.11, 1 Dy 2.28
O  0.2983  0.7000  0.8804  1 W 2.11, 1 Dy 2.28
O  0.7017  0.8196  0.1196  1 W 2.11, 1 Dy 2.28
O  0.3326  0.1672  0.3345  1 W 1.99, 2 Dy 2.18
O  0.2983  0.1804  0.8804  1 W 2.11, 1 Dy 2.28
W  0.5000  0.0000  0.0000  6 O 1.99-2.11
Dy  0.5000  0.0000  0.5000  4 O 2.18-2.28
Dy  0.0000  0.5000  0.0000  4 O 2.38, 2 Cl 2.65
Dy  0.5000  0.5000  0.5000  4 O 2.18-2.28